Computed, not measured: a relaxed structure of Hf2ThCu2Sn2 at the PBE-GGA level of DFT.

The structure in CIF format:
```
data_Hf2ThCu2Sn2
_space_group_name_H-M_alt 'P 1'
_space_group_IT_number 1
_space_group_name_Hall 'P 1'
_cell_length_a 4.615
_cell_length_b 4.615
_cell_length_c 8.795
_cell_angle_alpha 74.79
_cell_angle_beta 74.79
_cell_angle_gamma 60.00
loop_
_atom_site_label
_atom_site_fract_x
_atom_site_fract_y
_atom_site_fract_z
_atom_site_occupancy
Cu1 0.553 0.553 0.342 1
Cu2 0.447 0.447 0.658 1
Hf1 0.137 0.137 0.590 1
Hf2 0.863 0.863 0.410 1
Th1 0.000 0.000 0.000 1
Sn1 0.258 0.258 0.225 1
Sn2 0.742 0.742 0.775 1
```

## Properties
For the formation energy, the calculation gives -1.19 eV per formula unit. Its density is 10.2 g cm⁻³. For the total energy, the calculation gives -6.39 eV per atom.

Computed, not measured: a relaxed structure of HfTi2Cu2Sn2 at the PBE-GGA level of DFT.

The structure in CIF format:
```
data_HfTi2Cu2Sn2
_space_group_name_H-M_alt 'P 1'
_space_group_IT_number 1
_space_group_name_Hall 'P 1'
_cell_length_a 4.409
_cell_length_b 4.409
_cell_length_c 8.062
_cell_angle_alpha 74.13
_cell_angle_beta 74.13
_cell_angle_gamma 60.00
loop_
_atom_site_label
_atom_site_fract_x
_atom_site_fract_y
_atom_site_fract_z
_atom_site_occupancy
Sn1 0.264 0.264 0.207 1
Sn2 0.736 0.736 0.793 1
Hf1 0.000 0.000 0.000 1
Cu1 0.445 0.445 0.666 1
Cu2 0.555 0.555 0.334 1
Ti1 0.138 0.138 0.587 1
Ti2 0.862 0.862 0.413 1
```

## Properties
For the formation energy, the calculation gives -0.98 eV per formula unit. Its density is 8.2 g cm⁻³. For the total energy, the calculation gives -6.13 eV per atom.

Computed, not measured: a relaxed structure of Hf2ZnCuSn at the PBE-GGA level of DFT.

The structure in CIF format:
```
data_Hf2ZnCuSn
_space_group_name_H-M_alt 'P 1'
_space_group_IT_number 1
_space_group_name_Hall 'P 1'
_cell_length_a 4.885
_cell_length_b 4.703
_cell_length_c 4.885
_cell_angle_alpha 90.00
_cell_angle_beta 90.00
_cell_angle_gamma 90.00
loop_
_atom_site_label
_atom_site_fract_x
_atom_site_fract_y
_atom_site_fract_z
_atom_site_occupancy
Hf1 0.000 0.000 0.500 1
Hf2 0.500 0.000 0.000 1
Cu1 0.000 0.000 0.000 1
Sn1 0.000 0.500 0.000 1
Zn1 0.500 0.500 0.500 1
```

## Properties
For the formation energy, the calculation gives 2.51 eV per formula unit. Its density is 8.9 g cm⁻³. For the total energy, the calculation gives -5.35 eV per atom.

Computed, not measured: a relaxed structure of HfZnCuSn at the PBE-GGA level of DFT.

The structure in CIF format:
```
data_HfZnCuSn
_space_group_name_H-M_alt 'P 1'
_space_group_IT_number 1
_space_group_name_Hall 'P 1'
_cell_length_a 4.113
_cell_length_b 4.129
_cell_length_c 4.155
_cell_angle_alpha 90.00
_cell_angle_beta 90.00
_cell_angle_gamma 90.00
loop_
_atom_site_label
_atom_site_fract_x
_atom_site_fract_y
_atom_site_fract_z
_atom_site_occupancy
Sn1 0.000 0.000 0.000 1
Hf1 0.500 0.000 0.500 1
Zn1 0.000 0.500 0.500 1
Cu1 0.500 0.500 0.000 1
```

## Properties
For the formation energy, the calculation gives -0.78 eV per formula unit. Its density is 10.0 g cm⁻³. For the total energy, the calculation gives -5.03 eV per atom.

Computed, not measured: a relaxed structure of SrHf2Cu2 at the PBE-GGA level of DFT.

The structure in CIF format:
```
data_SrHf2Cu2
_space_group_name_H-M_alt 'P 1'
_space_group_IT_number 1
_space_group_name_Hall 'P 1'
_cell_length_a 8.224
_cell_length_b 8.224
_cell_length_c 3.082
_cell_angle_alpha 90.00
_cell_angle_beta 90.00
_cell_angle_gamma 90.00
loop_
_atom_site_label
_atom_site_fract_x
_atom_site_fract_y
_atom_site_fract_z
_atom_site_occupancy
Cu1 0.371 0.871 0.000 1
Cu2 0.129 0.371 0.000 1
Cu3 0.629 0.129 0.000 1
Cu4 0.871 0.629 0.000 1
Sr1 0.000 0.000 0.000 1
Sr2 0.500 0.500 0.000 1
Hf1 0.156 0.656 0.500 1
Hf2 0.656 0.844 0.500 1
Hf3 0.344 0.156 0.500 1
Hf4 0.844 0.344 0.500 1
```

## Properties
For the formation energy, the calculation gives 1.42 eV per formula unit. Its density is 9.1 g cm⁻³. For the total energy, the calculation gives -5.67 eV per atom. The excess energy over the best structure of this formula in the dataset comes out at 103 meV per atom.

Computed, not measured: a relaxed structure of SrHfCu3 at the PBE-GGA level of DFT.

The structure in CIF format:
```
data_SrHfCu3
_space_group_name_H-M_alt 'P 1'
_space_group_IT_number 1
_space_group_name_Hall 'P 1'
_cell_length_a 4.997
_cell_length_b 4.997
_cell_length_c 4.997
_cell_angle_alpha 90.00
_cell_angle_beta 90.00
_cell_angle_gamma 90.00
loop_
_atom_site_label
_atom_site_fract_x
_atom_site_fract_y
_atom_site_fract_z
_atom_site_occupancy
Sr1 0.500 0.500 0.500 1
Cu1 0.000 0.500 0.000 1
Cu2 0.500 0.000 0.000 1
Cu3 0.000 0.000 0.500 1
Hf1 0.000 0.000 0.000 1
```

## Properties
For the formation energy, the calculation gives 2.62 eV per formula unit. Its density is 6.1 g cm⁻³. For the total energy, the calculation gives -4.26 eV per atom. The excess energy over the best structure of this formula in the dataset comes out at 0 meV per atom.

Computed, not measured: a relaxed structure of SrHfCu10 at the PBE-GGA level of DFT.

The structure in CIF format:
```
data_SrHfCu10
_space_group_name_H-M_alt 'P 1'
_space_group_IT_number 1
_space_group_name_Hall 'P 1'
_cell_length_a 4.050
_cell_length_b 5.068
_cell_length_c 8.722
_cell_angle_alpha 90.00
_cell_angle_beta 90.00
_cell_angle_gamma 90.00
loop_
_atom_site_label
_atom_site_fract_x
_atom_site_fract_y
_atom_site_fract_z
_atom_site_occupancy
Cu1 0.500 0.261 0.267 1
Cu2 0.500 0.739 0.267 1
Cu3 0.000 0.500 0.183 1
Cu4 0.000 0.500 0.817 1
Cu5 0.500 0.261 0.733 1
Cu6 0.000 0.000 0.654 1
Cu7 0.500 0.000 0.500 1
Cu8 0.500 0.739 0.733 1
Cu9 0.500 0.500 0.000 1
Cu10 0.000 0.000 0.346 1
Sr1 0.000 0.000 0.000 1
Hf1 0.000 0.500 0.500 1
```

## Properties
For the formation energy, the calculation gives -0.47 eV per formula unit. Its density is 8.4 g cm⁻³. For the total energy, the calculation gives -4.42 eV per atom.

Computed, not measured: a relaxed structure of SrHfCu3 at the PBE-GGA level of DFT.

The structure in CIF format:
```
data_SrHfCu3
_space_group_name_H-M_alt 'P 1'
_space_group_IT_number 1
_space_group_name_Hall 'P 1'
_cell_length_a 4.877
_cell_length_b 4.877
_cell_length_c 4.877
_cell_angle_alpha 90.00
_cell_angle_beta 90.00
_cell_angle_gamma 90.00
loop_
_atom_site_label
_atom_site_fract_x
_atom_site_fract_y
_atom_site_fract_z
_atom_site_occupancy
Cu1 0.000 0.000 0.500 1
Cu2 0.500 0.000 0.000 1
Cu3 0.000 0.500 0.000 1
Sr1 0.000 0.000 0.000 1
Hf1 0.500 0.500 0.500 1
```

## Properties
For the formation energy, the calculation gives 7.25 eV per formula unit. Its density is 6.5 g cm⁻³. For the total energy, the calculation gives -3.34 eV per atom. The excess energy over the best structure of this formula in the dataset comes out at 925 meV per atom.

Computed, not measured: a relaxed structure of SrHf2Cu at the PBE-GGA level of DFT.

The structure in CIF format:
```
data_SrHf2Cu
_space_group_name_H-M_alt 'P 1'
_space_group_IT_number 1
_space_group_name_Hall 'P 1'
_cell_length_a 5.434
_cell_length_b 5.434
_cell_length_c 9.685
_cell_angle_alpha 73.71
_cell_angle_beta 73.71
_cell_angle_gamma 90.00
loop_
_atom_site_label
_atom_site_fract_x
_atom_site_fract_y
_atom_site_fract_z
_atom_site_occupancy
Cu1 0.500 0.500 0.000 1
Cu2 0.250 0.750 0.500 1
Sr1 0.000 0.000 0.000 1
Sr2 0.750 0.250 0.500 1
Hf1 0.375 0.624 0.750 1
Hf2 0.374 0.625 0.250 1
Hf3 0.376 0.125 0.250 1
Hf4 0.875 0.626 0.750 1
```

## Properties
For the formation energy, the calculation gives 3.80 eV per formula unit. Its density is 6.4 g cm⁻³. For the total energy, the calculation gives -5.47 eV per atom. The excess energy over the best structure of this formula in the dataset comes out at 139 meV per atom.

Computed, not measured: a relaxed structure of Sr2HfCu at the PBE-GGA level of DFT.

The structure in CIF format:
```
data_Sr2HfCu
_space_group_name_H-M_alt 'P 1'
_space_group_IT_number 1
_space_group_name_Hall 'P 1'
_cell_length_a 5.563
_cell_length_b 5.563
_cell_length_c 5.563
_cell_angle_alpha 60.00
_cell_angle_beta 60.00
_cell_angle_gamma 60.00
loop_
_atom_site_label
_atom_site_fract_x
_atom_site_fract_y
_atom_site_fract_z
_atom_site_occupancy
Cu1 0.000 0.000 0.000 1
Sr1 0.250 0.250 0.250 1
Sr2 0.750 0.750 0.750 1
Hf1 0.500 0.500 0.500 1
```

## Properties
For the formation energy, the calculation gives 3.08 eV per formula unit. Its density is 5.7 g cm⁻³. For the total energy, the calculation gives -3.58 eV per atom. The excess energy over the best structure of this formula in the dataset comes out at 113 meV per atom.

Which value of density does entry 5 give?
9.1 g cm⁻³